No. 1
A geometry-optimized Hf3Nb3Tc2 structure, computed with PBE. Values from VASP.

Summary:
magnetic moment	0.0	μB per formula unit
energy of formation from the pure elements	97.0	meV/atom

The structure in Quantum ESPRESSO input format:
```
&SYSTEM
  ibrav = 0, nat = 8, ntyp = 3
/
ATOMIC_SPECIES
Hf 178.49 Hf.upf
Nb 92.91 Nb.upf
Tc 98.00 Tc.upf
ATOMIC_POSITIONS crystal
Hf 0.500 0.436 0.436
Hf 0.500 0.564 0.000
Hf 0.500 0.000 0.564
Nb 0.000 0.000 0.216
Nb 0.000 0.216 0.000
Nb 0.000 0.784 0.784
Tc 0.000 0.667 0.333
Tc 0.000 0.333 0.667
CELL_PARAMETERS angstrom
-0.168 -2.657 -1.875
3.776 3.479 -5.267
3.569 -3.858 5.147
```



No. 2
A geometry-optimized HfNb5Tc6 structure, computed with PBE. Values from VASP.

Summary:
magnetic moment	0.0	μB per formula unit
energy of formation from the pure elements	-391.0	meV/atom

The structure in Quantum ESPRESSO input format:
```
&SYSTEM
  ibrav = 0, nat = 12, ntyp = 3
/
ATOMIC_SPECIES
Nb 92.91 Nb.upf
Tc 98.00 Tc.upf
Hf 178.49 Hf.upf
ATOMIC_POSITIONS crystal
Nb 0.500 0.167 0.833
Nb 0.000 0.334 0.666
Nb 0.000 0.666 0.334
Nb 0.500 0.500 0.500
Nb 0.500 0.833 0.167
Tc 0.246 0.746 0.746
Tc 0.748 0.916 0.580
Tc 0.252 0.420 0.084
Tc 0.754 0.254 0.254
Tc 0.252 0.084 0.420
Tc 0.748 0.580 0.916
Hf 0.000 0.000 0.000
CELL_PARAMETERS angstrom
-2.511 -3.598 -1.124
4.200 1.904 -6.350
3.637 -1.788 6.720
```



No. 3
A geometry-optimized Hf2NbTc3 structure, computed with PBE. Values from VASP.

Summary:
magnetic moment	0.0	μB per formula unit
energy of formation from the pure elements	-459.0	meV/atom

The structure in Quantum ESPRESSO input format:
```
&SYSTEM
  ibrav = 0, nat = 6, ntyp = 3
/
ATOMIC_SPECIES
Nb 92.91 Nb.upf
Hf 178.49 Hf.upf
Tc 98.00 Tc.upf
ATOMIC_POSITIONS crystal
Nb 0.500 0.500 0.500
Hf 0.500 0.500 0.167
Hf 0.500 0.500 0.833
Tc 0.000 0.000 0.000
Tc 0.000 0.000 0.340
Tc 0.000 0.000 0.660
CELL_PARAMETERS angstrom
3.231 0.000 0.000
0.000 3.231 0.000
0.000 0.000 9.760
```



No. 4
A geometry-optimized HfNbTc structure, computed with PBE. Values from VASP.

Summary:
magnetic moment	0.0	μB per formula unit
energy of formation from the pure elements	-333.7	meV/atom
energy above the most stable polymorph in this dataset	0.0	meV per atom

The structure in Quantum ESPRESSO input format:
```
&SYSTEM
  ibrav = 0, nat = 3, ntyp = 3
/
ATOMIC_SPECIES
Tc 98.00 Tc.upf
Hf 178.49 Hf.upf
Nb 92.91 Nb.upf
ATOMIC_POSITIONS crystal
Tc 0.290 0.290 0.580
Hf 0.624 0.624 0.248
Nb 0.936 0.936 0.872
CELL_PARAMETERS angstrom
-0.875 -2.172 2.240
2.365 1.056 1.948
-3.938 3.948 -0.055
```



No. 5
A geometry-optimized HfNb3Tc structure, computed with PBE. Values from VASP.

Summary:
magnetic moment	0.0	μB per formula unit
energy of formation from the pure elements	2009.4	meV/atom
energy above the most stable polymorph in this dataset	1124.0	meV per atom

The structure in Quantum ESPRESSO input format:
```
&SYSTEM
  ibrav = 0, nat = 5, ntyp = 3
/
ATOMIC_SPECIES
Hf 178.49 Hf.upf
Nb 92.91 Nb.upf
Tc 98.00 Tc.upf
ATOMIC_POSITIONS crystal
Hf 0.000 0.000 0.000
Nb 0.000 0.000 0.500
Nb 0.000 0.500 0.000
Nb 0.500 0.000 0.000
Tc 0.500 0.500 0.500
CELL_PARAMETERS angstrom
4.813 0.000 0.000
0.000 4.813 0.000
0.000 0.000 4.813
```



No. 6
A geometry-optimized Hf6Nb2Tc structure, computed with PBE. Values from VASP.

Summary:
magnetic moment	0.0	μB per formula unit
energy of formation from the pure elements	436.7	meV/atom

The structure in Quantum ESPRESSO input format:
```
&SYSTEM
  ibrav = 0, nat = 9, ntyp = 3
/
ATOMIC_SPECIES
Hf 178.49 Hf.upf
Tc 98.00 Tc.upf
Nb 92.91 Nb.upf
ATOMIC_POSITIONS crystal
Hf 0.838 0.593 0.678
Hf 0.162 0.915 0.322
Hf 0.838 0.085 0.678
Hf 0.500 0.245 0.000
Hf 0.500 0.755 0.000
Hf 0.162 0.407 0.322
Tc 0.000 0.000 0.000
Nb 0.332 0.333 0.666
Nb 0.668 0.667 0.334
CELL_PARAMETERS angstrom
-4.302 -1.543 -0.655
-0.858 -0.339 6.432
0.263 7.438 -2.856
```



No. 7
A geometry-optimized HfNb3Tc structure, computed with PBE. Values from VASP.

Summary:
magnetic moment	0.0	μB per formula unit
energy of formation from the pure elements	907.5	meV/atom
energy above the most stable polymorph in this dataset	22.0	meV per atom

The structure in Quantum ESPRESSO input format:
```
&SYSTEM
  ibrav = 0, nat = 5, ntyp = 3
/
ATOMIC_SPECIES
Nb 92.91 Nb.upf
Tc 98.00 Tc.upf
Hf 178.49 Hf.upf
ATOMIC_POSITIONS crystal
Nb 0.500 0.000 0.000
Nb 0.000 0.500 0.000
Nb 0.000 0.000 0.500
Tc 0.000 0.000 0.000
Hf 0.500 0.500 0.500
CELL_PARAMETERS angstrom
-3.998 -0.946 2.496
0.534 -4.688 -0.921
2.615 -0.488 4.004
```



No. 8
A geometry-optimized Hf5NbTc6 structure, computed with PBE. Values from VASP.

Summary:
magnetic moment	0.0	μB per formula unit
energy of formation from the pure elements	-471.3	meV/atom

The structure in Quantum ESPRESSO input format:
```
&SYSTEM
  ibrav = 0, nat = 12, ntyp = 3
/
ATOMIC_SPECIES
Hf 178.49 Hf.upf
Tc 98.00 Tc.upf
Nb 92.91 Nb.upf
ATOMIC_POSITIONS crystal
Hf 0.333 0.833 0.666
Hf 0.666 0.666 0.333
Hf 0.000 0.500 0.000
Hf 0.667 0.167 0.334
Hf 0.334 0.334 0.667
Tc 0.500 0.245 0.000
Tc 0.836 0.083 0.671
Tc 0.164 0.412 0.329
Tc 0.500 0.755 0.000
Tc 0.164 0.917 0.329
Tc 0.836 0.588 0.671
Nb 0.000 0.000 0.000
CELL_PARAMETERS angstrom
-2.175 -1.758 3.656
1.180 -6.001 -2.183
6.443 3.780 2.752
```



No. 9
A geometry-optimized Hf5NbTc4 structure, computed with PBE. Values from VASP.

Summary:
magnetic moment	0.0	μB per formula unit
energy of formation from the pure elements	-377.1	meV/atom

The structure in Quantum ESPRESSO input format:
```
&SYSTEM
  ibrav = 0, nat = 10, ntyp = 3
/
ATOMIC_SPECIES
Nb 92.91 Nb.upf
Hf 178.49 Hf.upf
Tc 98.00 Tc.upf
ATOMIC_POSITIONS crystal
Nb 0.000 0.000 0.000
Hf 0.500 0.500 0.307
Hf 0.500 0.500 0.115
Hf 0.500 0.500 0.500
Hf 0.500 0.500 0.885
Hf 0.500 0.500 0.693
Tc 0.000 0.000 0.793
Tc 0.000 0.000 0.207
Tc 0.000 0.000 0.403
Tc 0.000 0.000 0.597
CELL_PARAMETERS angstrom
3.267 0.000 0.000
0.000 3.267 0.000
0.000 0.000 16.804
```



No. 10
A geometry-optimized HfNb3Tc structure, computed with PBE. Values from VASP.

Summary:
magnetic moment	0.0	μB per formula unit
energy of formation from the pure elements	885.4	meV/atom
energy above the most stable polymorph in this dataset	0.0	meV per atom

The structure in Quantum ESPRESSO input format:
```
&SYSTEM
  ibrav = 0, nat = 10, ntyp = 3
/
ATOMIC_SPECIES
Nb 92.91 Nb.upf
Tc 98.00 Tc.upf
Hf 178.49 Hf.upf
ATOMIC_POSITIONS crystal
Nb 0.121 0.874 0.747
Nb 0.126 0.374 0.253
Nb 0.710 0.710 0.420
Nb 0.126 0.879 0.253
Nb 0.290 0.290 0.580
Nb 0.626 0.874 0.747
Tc 0.000 0.000 0.000
Tc 0.250 0.750 0.500
Hf 0.933 0.433 0.866
Hf 0.567 0.067 0.134
CELL_PARAMETERS angstrom
-4.597 2.118 -0.841
-0.720 -3.147 -3.989
-1.071 -5.447 7.792
```



No. 11
A geometry-optimized HfTiNbTc structure, computed with PBE. Values from VASP.

Summary:
magnetic moment	0.6	μB per formula unit
energy of formation from the pure elements	-156.4	meV/atom

The structure in Quantum ESPRESSO input format:
```
&SYSTEM
  ibrav = 0, nat = 4, ntyp = 4
/
ATOMIC_SPECIES
Tc 98.00 Tc.upf
Ti 47.87 Ti.upf
Nb 92.91 Nb.upf
Hf 178.49 Hf.upf
ATOMIC_POSITIONS crystal
Tc 0.750 0.750 0.750
Ti 0.250 0.250 0.250
Nb 0.000 0.000 0.000
Hf 0.500 0.500 0.500
CELL_PARAMETERS angstrom
-3.462 -2.101 2.228
-0.053 -4.607 0.366
0.765 -2.001 4.095
```



No. 12
A geometry-optimized HfNbVTc structure, computed with PBE. Values from VASP.

Summary:
magnetic moment	1.5	μB per formula unit
energy of formation from the pure elements	-159.4	meV/atom

The structure in Quantum ESPRESSO input format:
```
&SYSTEM
  ibrav = 0, nat = 4, ntyp = 4
/
ATOMIC_SPECIES
Nb 92.91 Nb.upf
V 50.94 V.upf
Tc 98.00 Tc.upf
Hf 178.49 Hf.upf
ATOMIC_POSITIONS crystal
Nb 0.000 0.000 0.000
V 0.250 0.250 0.250
Tc 0.750 0.750 0.750
Hf 0.500 0.500 0.500
CELL_PARAMETERS angstrom
4.574 0.000 0.000
2.287 3.962 0.000
2.287 1.321 3.735
```



What are the V values for these records? In order: 19.1; 16.4; 17.0; 17.8; 22.3; 23.0; 22.2; 17.2; 17.9; 23.3; 17.4; 16.9 Å³ per atom.
What are the DFT total energy values for these records? In order: -10.003; -10.599; -10.638; -10.463; -8.096; -9.588; -9.198; -10.641; -10.507; -9.220; -9.727; -10.036 eV per atom.